No. 1
A relaxed structure of ScPI2. Source: Alexandria, functional PBE.

Values from the calculation:
Crystal system: cubic
ΔE to the lowest computed polymorph in meV/atom: 476.5

Cell: 5.180 5.180 5.180 Å, 60.00 60.00 60.00°
Element x y z (fractional)
1 Sc 0.000 0.000 0.000
2 P 0.500 0.500 0.500
3 I 0.250 0.250 0.250
4 I 0.750 0.750 0.750

***

No. 2
A relaxed structure of ScP2I. Source: Alexandria, functional PBE.

Values from the calculation:
Crystal system: tetragonal
ΔE to the lowest computed polymorph in meV/atom: 0.0

Cell: 10.206 10.206 10.206 Å, 154.22 154.22 36.78°
Element x y z (fractional)
1 Sc 0.375 0.625 0.750
2 Sc 0.625 0.375 0.250
3 P 0.000 0.500 0.500
4 P 0.500 0.000 0.000
5 P 0.500 0.500 0.000
6 P 0.500 0.500 0.500
7 I 0.125 0.875 0.250
8 I 0.875 0.125 0.750

***

No. 3
A relaxed structure of Sc4PI5. Source: Alexandria, functional PBE.

Values from the calculation:
Crystal system: monoclinic

Cell: 9.524 9.524 8.304 Å, 102.25 102.25 24.04°
Element x y z (fractional)
1 Sc 0.000 0.000 0.198
2 Sc 0.000 0.000 0.802
3 Sc 0.365 0.365 0.932
4 Sc 0.635 0.635 0.068
5 P 0.500 0.500 0.000
6 I 0.162 0.162 0.331
7 I 0.167 0.167 0.831
8 I 0.500 0.500 0.500
9 I 0.833 0.833 0.169
10 I 0.838 0.838 0.669

***

No. 4
A relaxed structure of ScP2I. Source: Alexandria, functional PBE.

Values from the calculation:
Crystal system: cubic
ΔE to the lowest computed polymorph in meV/atom: 623.2

Cell: 4.864 4.864 4.864 Å, 60.00 60.00 60.00°
Element x y z (fractional)
1 Sc 0.000 0.000 0.000
2 P 0.250 0.250 0.250
3 P 0.750 0.750 0.750
4 I 0.500 0.500 0.500

***

No. 5
A relaxed structure of ScTe2PI. Source: Alexandria, functional PBE.

Values from the calculation:
Crystal system: tetragonal
ΔE to the lowest computed polymorph in meV/atom: 69.2

Cell: 5.618 5.618 5.603 Å, 90.00 90.00 90.00°
Element x y z (fractional)
1 Sc 0.000 0.000 0.000
2 Te 0.000 0.500 0.000
3 Te 0.500 0.000 0.000
4 P 0.500 0.500 0.500
5 I 0.000 0.000 0.500

***

No. 6
A relaxed structure of ScTePI2. Source: Alexandria, functional PBE.

Values from the calculation:
Crystal system: tetragonal
ΔE to the lowest computed polymorph in meV/atom: 0.0

Cell: 5.642 5.642 5.818 Å, 90.00 90.00 90.00°
Element x y z (fractional)
1 Sc 0.000 0.000 0.000
2 Te 0.000 0.000 0.500
3 P 0.500 0.500 0.500
4 I 0.000 0.500 0.000
5 I 0.500 0.000 0.000

***

No. 7
A relaxed structure of ScTePI2. Source: Alexandria, functional PBE.

Values from the calculation:
Crystal system: tetragonal
ΔE to the lowest computed polymorph in meV/atom: 153.0

Cell: 5.321 5.321 5.553 Å, 90.00 90.00 90.00°
Element x y z (fractional)
1 Sc 0.000 0.000 0.000
2 Te 0.500 0.500 0.000
3 P 0.500 0.500 0.500
4 I 0.000 0.500 0.500
5 I 0.500 0.000 0.500

***

No. 8
A relaxed structure of ScTe2PI. Source: Alexandria, functional PBE.

Values from the calculation:
Crystal system: tetragonal
ΔE to the lowest computed polymorph in meV/atom: 0.0

Cell: 5.331 5.331 5.179 Å, 90.00 90.00 90.00°
Element x y z (fractional)
1 Sc 0.000 0.000 0.000
2 Te 0.000 0.500 0.500
3 Te 0.500 0.000 0.500
4 P 0.500 0.500 0.500
5 I 0.500 0.500 0.000

***

No. 9
A relaxed structure of YScPI2. Source: Alexandria, functional PBE.

Values from the calculation:
Crystal system: tetragonal

Cell: 5.600 5.600 5.375 Å, 90.00 90.00 90.00°
Element x y z (fractional)
1 Y 0.000 0.000 0.000
2 Sc 0.500 0.500 0.000
3 P 0.000 0.000 0.500
4 I 0.000 0.500 0.500
5 I 0.500 0.000 0.500

***

No. 10
A relaxed structure of PSeI. Source: Alexandria, functional PBE.

Values from the calculation:
Crystal system: trigonal

Cell: 3.803 3.803 7.131 Å, 90.00 90.00 120.00°
Element x y z (fractional)
1 P 0.000 0.000 0.000
2 Se 0.667 0.333 0.182
3 I 0.333 0.667 0.734

***

No. 11
A relaxed structure of P4Se3I2. Source: Alexandria, functional PBE.

Values from the calculation:
Crystal system: orthorhombic
ΔE to the lowest computed polymorph in meV/atom: 17.0

Cell: 10.406 16.414 7.885 Å, 90.00 90.00 90.00°
Element x y z (fractional)
1 P 0.047 0.149 0.053
2 P 0.047 0.351 0.053
3 P 0.159 0.250 0.169
4 P 0.236 0.750 0.265
5 P 0.264 0.250 0.765
6 P 0.341 0.750 0.669
7 P 0.453 0.649 0.553
8 P 0.453 0.851 0.553
9 P 0.547 0.149 0.447
10 P 0.547 0.351 0.447
11 P 0.659 0.250 0.331
12 P 0.736 0.750 0.235
13 P 0.764 0.250 0.735
14 P 0.841 0.750 0.831
15 P 0.953 0.649 0.947
16 P 0.953 0.851 0.947
17 Se 0.126 0.142 0.780
18 Se 0.126 0.358 0.780
19 Se 0.150 0.750 0.529
20 Se 0.350 0.250 0.029
21 Se 0.374 0.642 0.280
22 Se 0.374 0.858 0.280
23 Se 0.626 0.142 0.720
24 Se 0.626 0.358 0.720
25 Se 0.650 0.750 0.971
26 Se 0.850 0.250 0.471
27 Se 0.874 0.642 0.220
28 Se 0.874 0.858 0.220
29 I 0.161 0.035 0.198
30 I 0.161 0.465 0.198
31 I 0.339 0.535 0.698
32 I 0.339 0.965 0.698
33 I 0.661 0.035 0.302
34 I 0.661 0.465 0.302
35 I 0.839 0.535 0.802
36 I 0.839 0.965 0.802

***

No. 12
A relaxed structure of PSeI3. Source: Alexandria, functional PBE.

Values from the calculation:
Crystal system: cubic
ΔE to the lowest computed polymorph in meV/atom: 0.0

Cell: 5.537 5.537 5.537 Å, 90.00 90.00 90.00°
Element x y z (fractional)
1 P 0.000 0.000 0.000
2 Se 0.500 0.500 0.500
3 I 0.000 0.000 0.500
4 I 0.000 0.500 0.000
5 I 0.500 0.000 0.000

***

The records above give, respectively, total DFT energy (no corrections) values of -3.634; -4.914; -5.050; -4.290; -3.691; -3.543; -3.390; -3.760; -3.991; -3.425; -3.972; -2.168 eV per atom.
The records above give, respectively, energy relative to the elements, uncorrected values of 0.306; -0.953; -12.014; 1.540; 1.121; 0.271; 1.036; 0.776; 1.352; 0.170; -0.553; 2.704 eV/f.u..